1.
Ga2PdAu: relaxed, PBE-GGA.

Results
Total moment, μB/atom: 0.00
Density, g cm⁻³: 11.31

Cell: 4.4415 4.4415 3.2955 Å, 90.00 90.00 90.00°
With the nearest neighbours (Å) after each atom.
Space group P4/mmm (No. 123)
Unique sites:
Ga  0.0000  0.5000  0.0000  4 Au 2.77, 4 Pd 2.77
Pd  0.0000  0.0000  0.5000  8 Ga 2.77
Au  0.5000  0.5000  0.5000  8 Ga 2.77

=====

2.
Ga2PdAu: relaxed, PBE-GGA.

Results
Total moment, μB/atom: 0.00
Density, g cm⁻³: 11.33

Cell: 6.3786 6.3786 6.3786 Å, 90.00 90.00 90.00°
With the nearest neighbours (Å) after each atom.
Space group Fm-3m (No. 225)
Unique sites:
Ga  0.2500  0.2500  0.2500  4 Pd 2.76, 4 Au 2.76
Pd  0.0000  0.0000  0.0000  8 Ga 2.76
Au  0.0000  0.0000  0.5000  8 Ga 2.76

=====

3.
Ga2PdAu: relaxed, PBE-GGA.

Results
Total moment, μB/atom: 0.00
Density, g cm⁻³: 7.14

Cell: 4.3341 4.3341 18.9989 Å, 90.00 90.00 120.00°
With the nearest neighbours (Å) after each atom.
Space group R-3m (No. 166, hexagonal axes)
Unique sites:
Ga  0.0000  0.0000  0.1276  1 Pd 2.42, 3 Au 2.61
Pd  0.0000  0.0000  0.0000  2 Ga 2.42
Au  0.0000  0.0000  0.5000  6 Ga 2.61

=====

Relative energy of each structure, in meV per atom: 1 5; 2 0; 3 581.

=====

1.
Ga2PdAu: relaxed, PBE-GGA.

Results
Total moment, μB/atom: 0.00
Density, g cm⁻³: 11.13

Cell: 4.5201 4.8863 5.9815 Å, 90.00 90.24 90.00°
With the nearest neighbours (Å) after each atom.
Space group P2_1/m (No. 11)
Unique sites:
Ga  0.1088  0.2500  0.1341  2 Pd 2.63-2.72, 4 Au 2.70-2.82, 1 Ga 2.86
Ga  0.1226  0.2500  0.6114  4 Pd 2.67-2.70, 2 Au 2.74, 1 Ga 2.86
Pd  0.3784  0.7500  0.6275  6 Ga 2.63-2.72
Au  0.3763  0.7500  0.1298  6 Ga 2.70-2.82, 2 Pd 2.98-3.00

=====

2.
Ga2PdAu: relaxed, PBE-GGA.

Results
Total moment, μB/atom: 0.00
Density, g cm⁻³: 10.00

Cell: 6.6144 4.0603 5.4734 Å, 90.00 90.03 90.00°
With the nearest neighbours (Å) after each atom.
Space group C2/m (No. 12)
Unique sites:
Ga  0.1538  0.0000  0.2682  3 Pd 2.60-2.62, 3 Au 2.70-2.72
Pd  0.0000  0.5000  0.5000  6 Ga 2.60-2.62, 2 Au 2.74
Au  0.0000  0.5000  0.0000  6 Ga 2.70-2.72, 2 Pd 2.74

=====

3.
Ga2PdAu: relaxed, PBE-GGA.

Results
Total moment, μB/atom: 0.00
Density, g cm⁻³: 10.20

Cell: 7.2108 7.2108 5.5440 Å, 90.00 90.00 90.00°
With the nearest neighbours (Å) after each atom.
Space group I-42d (No. 122)
Unique sites:
Ga  0.2407  0.2500  0.1250  2 Pd 2.60, 2 Au 2.69, 2 Ga 2.78
Pd  0.0000  0.0000  0.0000  4 Ga 2.60, 2 Au 2.77
Au  0.0000  0.0000  0.5000  4 Ga 2.69, 2 Pd 2.77

=====

4.
Ga2PdAu: relaxed, PBE-GGA.

Results
Total moment, μB/atom: 0.00
Density, g cm⁻³: 11.30

Cell: 3.1575 3.1575 6.5275 Å, 90.00 90.00 90.00°
With the nearest neighbours (Å) after each atom.
Space group P4/mmm (No. 123)
Unique sites:
Ga  0.0000  0.0000  0.2336  4 Pd 2.70, 4 Au 2.83
Pd  0.5000  0.5000  0.0000  8 Ga 2.70
Au  0.5000  0.5000  0.5000  8 Ga 2.83, 4 Au 3.16

=====

Relative energy of each structure, in meV per atom: 1 15; 2 0; 3 200; 4 53.

=====

1.
GaPdAu: relaxed, PBE-GGA.

Results
Total moment, μB/atom: 0.00
Density, g cm⁻³: 12.70

Cell: 7.0497 7.0497 3.4001 Å, 90.00 90.00 120.00°
With the nearest neighbours (Å) after each atom.
Space group P-62m (No. 189)
Unique sites:
Ga  0.0000  0.0000  0.0000  6 Pd 2.58, 3 Au 2.72
Ga  0.3333  0.6667  0.5000  3 Pd 2.58, 6 Au 2.77
Pd  0.0000  0.7238  0.5000  4 Ga 2.58
Au  0.0000  0.3856  0.0000  5 Ga 2.72-2.77, 6 Pd 2.93-2.96

=====

2.
GaPdAu: relaxed, PBE-GGA.

Results
Total moment, μB/atom: 0.00
Density, g cm⁻³: 12.51

Cell: 4.2846 4.2846 3.1140 Å, 90.00 90.00 120.00°
With the nearest neighbours (Å) after each atom.
Space group P3m1 (No. 156)
Unique sites:
Ga  0.0000  0.0000  0.0000  3 Pd 2.57, 3 Au 2.65
Pd  0.6667  0.3333  0.7799  3 Ga 2.57
Au  0.3333  0.6667  0.3053  3 Ga 2.65, 6 Pd 2.88-2.97

=====

Relative energy of each structure, in meV per atom: 1 0; 2 73.

=====

1.
GaPdAu: relaxed, PBE-GGA.

Results
Total moment, μB/atom: 0.00
Density, g cm⁻³: 12.79

Cell: 3.1587 3.1587 9.7099 Å, 90.00 90.00 90.00°
With the nearest neighbours (Å) after each atom.
Space group I4mm (No. 107)
Unique sites:
Ga  0.0000  0.0000  0.0000  4 Pd 2.59, 4 Au 2.76
Pd  0.0000  0.0000  0.6355  4 Ga 2.59
Au  0.0000  0.0000  0.3322  4 Ga 2.76, 5 Pd 2.94-2.95

=====

2.
GaPdAu: relaxed, PBE-GGA.

Results
Total moment, μB/atom: 0.00
Density, g cm⁻³: 11.59

Cell: 3.2307 3.2307 20.4848 Å, 90.00 90.00 90.00°
With the nearest neighbours (Å) after each atom.
Space group I4/mmm (No. 139)
Unique sites:
Ga  0.0000  0.0000  0.2095  5 Pd 2.55-2.80, 4 Ga 2.82
Pd  0.0000  0.0000  0.3462  5 Ga 2.55-2.80
Au  0.0000  0.0000  0.0663  1 Au 2.71, 4 Pd 2.90, 1 Ga 2.93

=====

3.
GaPdAu: relaxed, PBE-GGA.

Results
Total moment, μB/atom: 0.00
Density, g cm⁻³: 11.49

Cell: 5.9979 5.9979 5.9979 Å, 90.00 90.00 90.00°
With the nearest neighbours (Å) after each atom.
Space group F-43m (No. 216)
Unique sites:
Ga  0.0000  0.0000  0.0000  4 Pd 2.60, 4 Au 2.60
Pd  0.2500  0.2500  0.7500  4 Ga 2.60
Au  0.2500  0.2500  0.2500  4 Ga 2.60

=====

4.
GaPdAu: relaxed, PBE-GGA.

Results
Total moment, μB/atom: 0.00
Density, g cm⁻³: 11.44

Cell: 4.3274 13.2587 5.6629 Å, 90.00 90.00 90.00°
With the nearest neighbours (Å) after each atom.
Space group Imm2 (No. 44)
Unique sites:
Ga  0.0000  0.0000  0.0000  4 Pd 2.55-2.59, 4 Au 2.65-2.67
Ga  0.0000  0.3280  0.5144  4 Pd 2.57-2.64, 4 Au 2.60-2.81
Pd  0.0000  0.1653  0.7693  4 Ga 2.55-2.59, 1 Au 2.73
Pd  0.0000  0.5000  0.7503  4 Ga 2.59-2.64, 1 Au 2.69
Au  0.0000  0.1580  0.2869  4 Ga 2.60-2.66, 1 Pd 2.73
Au  0.0000  0.5000  0.2248  4 Ga 2.67-2.81, 2 Pd 2.69-2.98

=====

Relative energy of each structure, in meV per atom: 1 0; 2 153; 3 46; 4 128.

=====

1.
Ga2PdAu2: relaxed, PBE-GGA.

Results
Total moment, μB/atom: 0.00
Density, g cm⁻³: 11.69

Cell: 3.7958 3.7958 12.6130 Å, 90.00 90.00 90.00°
With the nearest neighbours (Å) after each atom.
Space group I4/mmm (No. 139)
Unique sites:
Ga  0.0000  0.5000  0.2500  4 Au 2.63, 4 Ga 2.68
Pd  0.0000  0.0000  0.0000  8 Au 3.00
Au  0.0000  0.0000  0.3943  4 Ga 2.63, 1 Au 2.67

=====

2.
Ga2PdAu2: relaxed, PBE-GGA.

Results
Total moment, μB/atom: 0.00
Density, g cm⁻³: 12.42

Cell: 7.0351 7.0351 3.4573 Å, 90.00 90.00 90.00°
With the nearest neighbours (Å) after each atom.
Space group P4/mbm (No. 127)
Unique sites:
Ga  0.1536  0.3464  0.0000  6 Au 2.62-2.74, 2 Pd 2.67
Pd  0.0000  0.0000  0.0000  4 Ga 2.67
Au  0.1478  0.6478  0.5000  6 Ga 2.62-2.74

=====

3.
Ga2PdAu2: relaxed, PBE-GGA.

Results
Total moment, μB/atom: 0.00
Density, g cm⁻³: 12.65

Cell: 9.5033 3.7121 6.3743 Å, 90.00 131.68 90.00°
With the nearest neighbours (Å) after each atom.
Space group C2/m (No. 12)
Unique sites:
Ga  0.0726  0.0000  0.2916  2 Pd 2.63, 5 Au 2.76-2.83
Pd  0.0000  0.5000  0.5000  4 Ga 2.63, 4 Au 2.88
Au  0.1964  0.5000  0.1250  6 Ga 2.76-2.98, 3 Pd 2.88-3.08, 3 Au 2.93-3.03

=====

Relative energy of each structure, in meV per atom: 1 213; 2 76; 3 0.

=====

1.
GaPd5Au2: relaxed, PBE-GGA.

Results
Total moment, μB/atom: 0.00
Density, g cm⁻³: 12.76

Cell: 4.0314 8.7730 14.6614 Å, 90.00 90.00 90.00°
With the nearest neighbours (Å) after each atom.
Space group Cmcm (No. 63)
Unique sites:
Ga  0.0000  0.1339  0.2500  5 Pd 2.45-2.71, 4 Au 2.68
Pd  0.0000  0.0476  0.0910  1 Ga 2.45
Pd  0.0000  0.3519  0.0319  8 Pd 2.76-2.85, 3 Au 2.82-2.84
Pd  0.0000  0.4432  0.2500  3 Ga 2.62-2.71
Au  0.0000  0.2492  0.6519  2 Ga 2.68, 8 Pd 2.75-3.00, 1 Au 2.88

=====

2.
GaPd5Au2: relaxed, PBE-GGA.

Results
Total moment, μB/atom: 0.00
Density, g cm⁻³: 13.04

Cell: 4.0656 4.0656 15.3438 Å, 90.00 90.00 90.00°
With the nearest neighbours (Å) after each atom.
Space group I4/mmm (No. 139)
Unique sites:
Ga  0.0000  0.0000  0.0000  12 Pd 2.72-2.87
Pd  0.0000  0.0000  0.5000  8 Pd 2.72, 4 Ga 2.87
Pd  0.0000  0.5000  0.1174  2 Ga 2.72, 6 Pd 2.72-2.87, 4 Au 2.87-2.88
Au  0.0000  0.0000  0.2503  8 Pd 2.87-2.88, 4 Au 2.87

=====

Relative energy of each structure, in meV per atom: 1 81; 2 0.

=====

1.
Ga2Pd2Au: relaxed, PBE-GGA.

Results
Total moment, μB/atom: 0.00
Density, g cm⁻³: 11.40

Cell: 7.4099 7.4099 2.9154 Å, 90.00 90.00 90.00°
With the nearest neighbours (Å) after each atom.
Space group P4/mbm (No. 127)
Unique sites:
Ga  0.1602  0.3398  0.0000  6 Pd 2.57-2.65
Pd  0.1383  0.6383  0.5000  6 Ga 2.57-2.65, 2 Au 2.87
Au  0.0000  0.0000  0.5000  4 Pd 2.87, 2 Au 2.92, 8 Ga 3.14

=====

2.
Ga2Pd2Au: relaxed, PBE-GGA.

Results
Total moment, μB/atom: 0.00
Density, g cm⁻³: 11.48

Cell: 7.2583 7.2583 3.0154 Å, 90.00 90.00 90.00°
With the nearest neighbours (Å) after each atom.
Space group P4/mbm (No. 127)
Unique sites:
Ga  0.1488  0.3512  0.0000  6 Pd 2.59-2.62, 2 Au 2.77
Pd  0.1464  0.6464  0.5000  6 Ga 2.59-2.62
Au  0.0000  0.0000  0.0000  4 Ga 2.77, 2 Au 3.02

=====

Relative energy of each structure, in meV per atom: 1 30; 2 0.

=====

1.
Ga2Pd2Au: relaxed, PBE-GGA.

Results
Total moment, μB/atom: 0.00
Density, g cm⁻³: 10.42

Cell: 3.9474 3.9474 11.2356 Å, 90.00 90.00 90.00°
With the nearest neighbours (Å) after each atom.
Space group I4/mmm (No. 139)
Unique sites:
Ga  0.0000  0.0000  0.1091  1 Ga 2.45, 4 Pd 2.53
Pd  0.0000  0.5000  0.2500  4 Ga 2.53, 4 Pd 2.79
Au  0.0000  0.0000  0.5000  8 Ga 3.05

=====

2.
Ga2Pd2Au: relaxed, PBE-GGA.

Results
Total moment, μB/atom: 0.00
Density, g cm⁻³: 11.18

Cell: 4.0187 14.1274 5.7481 Å, 90.00 90.00 90.00°
With the nearest neighbours (Å) after each atom.
Space group Cmc2_1 (No. 36)
Unique sites:
Ga  0.0000  0.0653  0.0000  6 Pd 2.59-2.73, 2 Au 2.72-2.77
Ga  0.0000  0.2910  0.1746  4 Pd 2.56-2.63, 3 Au 2.64-2.84
Pd  0.0000  0.3256  0.6111  5 Ga 2.56-2.62
Pd  0.0000  0.4759  0.2346  5 Ga 2.59-2.73, 1 Pd 2.89
Au  0.0000  0.1265  0.4580  5 Ga 2.64-2.84, 5 Pd 2.91-2.95

=====

Relative energy of each structure, in meV per atom: 1 196; 2 0.